A relaxed structure of Cs2TlCo2O6. Source: Alexandria via LeMat-Bulk, functional GGA+U.

```
Cs2TlCo2O6
1.0
6.1790 0.0000 0.0000
3.0895 5.3512 0.0000
3.0895 1.7837 6.4027
Cs Tl Co O
2 1 2 6
Direct
0.7854 0.7854 0.6439 Cs
0.2146 0.2146 0.3561 Cs
0.0000 0.0000 0.0000 Tl
0.4057 0.4057 0.7830 Co
0.5943 0.5943 0.2170 Co
0.7574 0.7574 0.2140 O
0.2713 0.7574 0.2140 O
0.7574 0.2713 0.2140 O
0.2426 0.7287 0.7860 O
0.7287 0.2426 0.7860 O
0.2426 0.2426 0.7860 O
```

As for the energy: -54.296 eV/cell. As for the symmetry: No. 166. Its crystal system is trigonal.